No. 1
This record from Alexandria via LeMat-Bulk describes a relaxed structure of Tb3Dy3Tm4. The functional is GGA-PBE.

abc: 3.6320 9.2931 9.2931
angles: 89.98 90.00 90.00
Sites, in units of the cell vectors:
Tb1 0.0000 0.0000 0.0000
Tb2 0.0000 0.5000 0.8469
Tb3 0.0000 0.8469 0.5000
Dy1 0.0000 0.3468 0.3468
Dy2 0.5000 0.1737 0.6727
Dy3 0.5000 0.6727 0.1737
Tm1 0.5000 0.0491 0.2981
Tm2 0.5000 0.2981 0.0491
Tm3 0.5000 0.5487 0.5487
Tm4 0.5000 0.7980 0.7980

Results
Crystal system ... orthorhombic
E_tot ... -4.468 eV/atom

***

No. 2
This record from Alexandria via LeMat-Bulk describes a relaxed structure of Tb2Dy5Tm5. The functional is GGA-PBE.

abc: 7.8559 7.8559 11.1143
angles: 115.08 115.08 36.89
Sites, in units of the cell vectors:
Tb1 0.0831 0.0831 0.2504
Tb2 0.9169 0.9169 0.7496
Dy1 0.0000 0.0000 0.5000
Dy2 0.1661 0.1661 0.9995
Dy3 0.2491 0.2491 0.7488
Dy4 0.7509 0.7509 0.2512
Dy5 0.8339 0.8339 0.0005
Tm1 0.3330 0.3330 0.4996
Tm2 0.4167 0.4167 0.2502
Tm3 0.5000 0.5000 0.0000
Tm4 0.5833 0.5833 0.7498
Tm5 0.6670 0.6670 0.5004

Results
Crystal system ... monoclinic
E_tot ... -4.532 eV/atom

***

No. 3
This record from Alexandria via LeMat-Bulk describes a relaxed structure of Tb2Dy3Tm6. The functional is GGA-PBE.

abc: 16.7411 16.7411 16.7411
angles: 163.97 163.97 22.74
Sites, in units of the cell vectors:
Tb1 0.0462 0.0462 0.0000
Tb2 0.9538 0.9538 0.0000
Dy1 0.2985 0.2985 0.0000
Dy2 0.5000 0.5000 0.0000
Dy3 0.7015 0.7015 0.0000
Tm1 0.1218 0.6218 0.5000
Tm2 0.1950 0.1950 0.0000
Tm3 0.3782 0.8782 0.5000
Tm4 0.6218 0.1218 0.5000
Tm5 0.8050 0.8050 0.0000
Tm6 0.8782 0.3782 0.5000

Results
Excess energy over the best structure of this formula in the dataset ... 261 meV per atom
Crystal system ... tetragonal

***

No. 4
This record from Alexandria via LeMat-Bulk describes a relaxed structure of Tb4DyTm6. The functional is GGA-PBE.

abc: 9.5904 9.5904 9.5904
angles: 140.34 140.34 57.34
Sites, in units of the cell vectors:
Tb1 0.0135 0.6388 0.0000
Tb2 0.3612 0.3612 0.3747
Tb3 0.6388 0.0135 0.0000
Tb4 0.9865 0.9865 0.6253
Dy1 0.0000 0.0000 0.0000
Tm1 0.0000 0.5000 0.5000
Tm2 0.1916 0.1916 0.6419
Tm3 0.4503 0.8084 0.0000
Tm4 0.5000 0.0000 0.5000
Tm5 0.5497 0.5497 0.3581
Tm6 0.8084 0.4503 0.0000

Results
Excess energy over the best structure of this formula in the dataset ... 0 meV per atom
Crystal system ... tetragonal